18
Lattice="4.079 0.000 0.000 -2.040 6.449 0.000 0.000 0.000 12.598" Properties=species:S:1:pos:R:3 comment="SmAl5Pd3 | Alexandria | GGA-PBE | optimized geometry" delta_e_f_ev_per_atom=-0.70 pbc="T T T"
Al 2.040 0.785 10.724
Al 0.000 0.000 6.299
Al 0.000 0.000 0.000
Al 2.040 3.857 5.522
Pd 0.000 1.685 9.448
Sm 2.040 4.380 9.448
Pd 0.000 5.037 6.886
Al 0.000 2.592 11.821
Al 0.000 5.663 4.425
Al 0.000 5.663 1.873
Pd 2.040 1.411 5.712
Al 2.040 0.785 8.172
Pd 0.000 5.037 12.011
Al 2.040 3.857 0.777
Pd 2.040 1.411 0.587
Pd 2.040 4.763 3.149
Al 0.000 2.592 7.076
Sm 0.000 2.069 3.149